First-principles (GGA-PBE) data for MgAg3Se after structural relaxation, as listed in the Alexandria database.

Values from the calculation:
crystal system = cubic
magnetic moment = 0.00 μB/atom
uncorrected energy = -2.0811 eV per atom

Lattice parameters (Å, degrees): 4.943 4.943 4.943 90.00 90.00 90.00
Space group Pm-3m (No. 221)
Inequivalent atoms, fractional coordinates:
Mg1 0.000 0.000 0.000 [1 per cell]
Ag1 0.000 0.000 0.500 [3 per cell]
Se1 0.500 0.500 0.500 [1 per cell]

---

First-principles (GGA-PBE) data for IrRhAu2 after structural relaxation, as listed in the Alexandria database.

Values from the calculation:
crystal system = tetragonal
E_form = 0.384 eV/atom
magnetic moment = 0.27 μB/atom

Lattice parameters (Å, degrees): 4.008 4.008 8.029 90.00 90.00 90.00
Space group I4/mmm (No. 139)
Inequivalent atoms, fractional coordinates:
Ir1 0.000 0.000 0.000 [2 per cell]
Rh1 0.000 0.000 0.500 [2 per cell]
Au1 0.000 0.500 0.250 [4 per cell]

---

First-principles (GGA-PBE) data for Zn6AgPt2 after structural relaxation, as listed in the Alexandria database.

Values from the calculation:
crystal system = monoclinic
E_form = -0.213 eV/atom
magnetic moment = 0.00 μB/atom

Lattice parameters (Å, degrees): 10.758 7.187 4.362 90.00 113.26 90.00
Space group C2/m (No. 12)
Inequivalent atoms, fractional coordinates:
Zn1 0.000 0.237 0.000 [4 per cell]
Zn2 0.167 0.191 0.666 [8 per cell]
Ag1 0.000 0.500 0.500 [2 per cell]
Pt1 0.199 0.000 0.198 [4 per cell]